w:
# SrLiCa2Cd, optimized geometry, DFT GGA-PBE
data_SrLiCa2Cd
_chemical_formula_sum 'Sr1 Li1 Ca2 Cd1'
_cell_length_a 5.788
_cell_length_b 5.788
_cell_length_c 5.220
_cell_angle_alpha 90.00
_cell_angle_beta 90.00
_cell_angle_gamma 90.00
_space_group_name_H-M_alt 'P 4/m m m'
_space_group_IT_number 123
_space_group_name_Hall '-P 4 2'
loop_
_atom_site_label
_atom_site_fract_x
_atom_site_fract_y
_atom_site_fract_z
Sr1 0.000 0.000 0.000
Li1 0.500 0.500 0.500
Ca1 0.000 0.500 0.500
Cd1 0.500 0.500 0.000
# Total magnetization (μB/atom): 0.00



x:
# SrLiCa2Cd, optimized geometry, DFT GGA-PBE
data_SrLiCa2Cd
_chemical_formula_sum 'Sr1 Li1 Ca2 Cd1'
_cell_length_a 6.097
_cell_length_b 6.097
_cell_length_c 5.275
_cell_angle_alpha 90.00
_cell_angle_beta 90.00
_cell_angle_gamma 90.00
_space_group_name_H-M_alt 'P 4/m m m'
_space_group_IT_number 123
_space_group_name_Hall '-P 4 2'
loop_
_atom_site_label
_atom_site_fract_x
_atom_site_fract_y
_atom_site_fract_z
Sr1 0.000 0.000 0.000
Li1 0.500 0.500 0.000
Ca1 0.000 0.500 0.500
Cd1 0.500 0.500 0.500
# Total magnetization (μB/atom): 0.00



Energy comparison, zero being the most stable, in kJ/mol of atoms: w 2.6; x 0.0.



w:
# LiCaTl2Cd, optimized geometry, DFT GGA-PBE
data_LiCaTl2Cd
_chemical_formula_sum 'Li1 Ca1 Tl2 Cd1'
_cell_length_a 5.135
_cell_length_b 5.135
_cell_length_c 5.036
_cell_angle_alpha 90.00
_cell_angle_beta 90.00
_cell_angle_gamma 90.00
_space_group_name_H-M_alt 'P 4/m m m'
_space_group_IT_number 123
_space_group_name_Hall '-P 4 2'
loop_
_atom_site_label
_atom_site_fract_x
_atom_site_fract_y
_atom_site_fract_z
Li1 0.000 0.000 0.000
Ca1 0.500 0.500 0.500
Tl1 0.000 0.500 0.000
Cd1 0.000 0.000 0.500
# Total magnetization (μB/atom): 0.00



x:
# LiCaTl2Cd, optimized geometry, DFT GGA-PBE
data_LiCaTl2Cd
_chemical_formula_sum 'Li2 Ca2 Tl4 Cd2'
_cell_length_a 5.976
_cell_length_b 6.880
_cell_length_c 6.324
_cell_angle_alpha 90.00
_cell_angle_beta 90.00
_cell_angle_gamma 90.00
_space_group_name_H-M_alt 'P m m a'
_space_group_IT_number 51
loop_
_space_group_symop_operation_xyz
'x,y,z'
'-x,-y,-z'
'-x+1/2,-y,z'
'x+1/2,y,-z'
'x+1/2,-y,-z'
'-x+1/2,y,z'
'-x,y,-z'
'x,-y,z'
loop_
_atom_site_label
_atom_site_fract_x
_atom_site_fract_y
_atom_site_fract_z
Li1 0.000 0.000 0.000
Ca1 0.250 0.500 0.234
Tl1 0.250 0.266 0.743
Cd1 0.250 0.000 0.364
# Total magnetization (μB/atom): 0.00



Energy comparison, zero being the most stable, in kJ/mol of atoms: w 9.7; x 0.0.



w:
# CaMg9Cd2, optimized geometry, DFT GGA-PBE
data_CaMg9Cd2
_chemical_formula_sum 'Ca4 Mg36 Cd8'
_cell_length_a 12.215
_cell_length_b 12.215
_cell_length_c 7.807
_cell_angle_alpha 90.00
_cell_angle_beta 90.00
_cell_angle_gamma 90.00
_space_group_name_H-M_alt 'I 41/a m d'
_space_group_IT_number 141
loop_
_space_group_symop_operation_xyz
'x,y,z'
'-x,-y,-z'
'-y+1/4,x+3/4,z+1/4'
'y+1/4,-x+3/4,-z+1/4'
'-x+1/2,-y,z+1/2'
'x+1/2,y,-z+1/2'
'y+1/4,-x+1/4,z+3/4'
'-y+1/4,x+1/4,-z+3/4'
'x,-y,-z'
'-x,y,z'
'-y+1/4,-x+1/4,-z+3/4'
'y+1/4,x+1/4,z+3/4'
'-x+1/2,y,-z+1/2'
'x+1/2,-y,z+1/2'
'y+1/4,x+3/4,-z+1/4'
'-y+1/4,-x+3/4,z+1/4'
'x+1/2,y+1/2,z+1/2'
'-x+1/2,-y+1/2,-z+1/2'
'-y+3/4,x+1/4,z+3/4'
'y+3/4,-x+1/4,-z+3/4'
'-x,-y+1/2,z'
'x,y+1/2,-z'
'y+3/4,-x+3/4,z+1/4'
'-y+3/4,x+3/4,-z+1/4'
'x+1/2,-y+1/2,-z+1/2'
'-x+1/2,y+1/2,z+1/2'
'-y+3/4,-x+3/4,-z+1/4'
'y+3/4,x+3/4,z+1/4'
'-x,y+1/2,-z'
'x,-y+1/2,z'
'y+3/4,x+1/4,-z+3/4'
'-y+3/4,-x+1/4,z+3/4'
loop_
_atom_site_label
_atom_site_fract_x
_atom_site_fract_y
_atom_site_fract_z
Ca1 0.000 0.250 0.375
Mg1 0.000 0.250 0.875
Mg2 0.123 0.047 0.682
Cd1 0.000 0.000 0.000
# Total magnetization (μB/atom): 0.00



x:
# CaMg9Cd2, optimized geometry, DFT GGA-PBE
data_CaMg9Cd2
_chemical_formula_sum 'Ca1 Mg9 Cd2'
_cell_length_a 9.9939
_cell_length_b 9.9939
_cell_length_c 3.3312
_cell_angle_alpha 90.00
_cell_angle_beta 90.00
_cell_angle_gamma 120.00
_space_group_name_H-M_alt 'P 6/m m m'
_space_group_IT_number 191
_space_group_name_Hall '-P 6 2'
loop_
_atom_site_label
_atom_site_fract_x
_atom_site_fract_y
_atom_site_fract_z
Ca1 0.0000 0.0000 0.0000
Mg1 0.0000 0.5000 0.0000
Mg2 0.1818 0.3635 0.5000
Cd1 0.3333 0.6667 0.0000
# Total magnetization (μB/atom): 0.00



Energy comparison, zero being the most stable, in kJ/mol of atoms: w 0.0; x 1.4.



w:
# Ca2MgCd4, optimized geometry, DFT GGA-PBE
data_Ca2MgCd4
_chemical_formula_sum 'Ca4 Mg2 Cd8'
_cell_length_a 5.232
_cell_length_b 5.232
_cell_length_c 16.277
_cell_angle_alpha 90.00
_cell_angle_beta 90.00
_cell_angle_gamma 90.00
_space_group_name_H-M_alt 'I 4/m m m'
_space_group_IT_number 139
_space_group_name_Hall '-I 4 2'
loop_
_atom_site_label
_atom_site_fract_x
_atom_site_fract_y
_atom_site_fract_z
Ca1 0.000 0.000 0.127
Mg1 0.000 0.000 0.500
Cd1 0.000 0.000 0.323
Cd2 0.000 0.500 0.000
# Total magnetization (μB/atom): 0.00



x:
# Ca2MgCd4, optimized geometry, DFT GGA-PBE
data_Ca2MgCd4
_chemical_formula_sum 'Ca4 Mg2 Cd8'
_cell_length_a 5.158
_cell_length_b 5.158
_cell_length_c 14.488
_cell_angle_alpha 90.00
_cell_angle_beta 90.00
_cell_angle_gamma 90.00
_space_group_name_H-M_alt 'I 4/m m m'
_space_group_IT_number 139
_space_group_name_Hall '-I 4 2'
loop_
_atom_site_label
_atom_site_fract_x
_atom_site_fract_y
_atom_site_fract_z
Ca1 0.000 0.000 0.249
Mg1 0.000 0.000 0.000
Cd1 0.000 0.500 0.105
# Total magnetization (μB/atom): 0.00



Energy comparison, zero being the most stable, in kJ/mol of atoms: w 19.0; x 0.0.



w:
# CaMg2Cd9, optimized geometry, DFT GGA-PBE
data_CaMg2Cd9
_chemical_formula_sum 'Ca4 Mg8 Cd36'
_cell_length_a 12.021
_cell_length_b 12.021
_cell_length_c 7.778
_cell_angle_alpha 90.00
_cell_angle_beta 90.00
_cell_angle_gamma 90.00
_space_group_name_H-M_alt 'I 41/a m d'
_space_group_IT_number 141
loop_
_space_group_symop_operation_xyz
'x,y,z'
'-x,-y,-z'
'-y+1/4,x+3/4,z+1/4'
'y+1/4,-x+3/4,-z+1/4'
'-x+1/2,-y,z+1/2'
'x+1/2,y,-z+1/2'
'y+1/4,-x+1/4,z+3/4'
'-y+1/4,x+1/4,-z+3/4'
'x,-y,-z'
'-x,y,z'
'-y+1/4,-x+1/4,-z+3/4'
'y+1/4,x+1/4,z+3/4'
'-x+1/2,y,-z+1/2'
'x+1/2,-y,z+1/2'
'y+1/4,x+3/4,-z+1/4'
'-y+1/4,-x+3/4,z+1/4'
'x+1/2,y+1/2,z+1/2'
'-x+1/2,-y+1/2,-z+1/2'
'-y+3/4,x+1/4,z+3/4'
'y+3/4,-x+1/4,-z+3/4'
'-x,-y+1/2,z'
'x,y+1/2,-z'
'y+3/4,-x+3/4,z+1/4'
'-y+3/4,x+3/4,-z+1/4'
'x+1/2,-y+1/2,-z+1/2'
'-x+1/2,y+1/2,z+1/2'
'-y+3/4,-x+3/4,-z+1/4'
'y+3/4,x+3/4,z+1/4'
'-x,y+1/2,-z'
'x,-y+1/2,z'
'y+3/4,x+1/4,-z+3/4'
'-y+3/4,-x+1/4,z+3/4'
loop_
_atom_site_label
_atom_site_fract_x
_atom_site_fract_y
_atom_site_fract_z
Ca1 0.000 0.250 0.375
Mg1 0.000 0.000 0.000
Cd1 0.000 0.250 0.875
Cd2 0.121 0.046 0.675
# Total magnetization (μB/atom): 0.00



x:
# CaMg2Cd9, optimized geometry, DFT GGA-PBE
data_CaMg2Cd9
_chemical_formula_sum 'Ca1 Mg2 Cd9'
_cell_length_a 9.8973
_cell_length_b 9.8973
_cell_length_c 3.2999
_cell_angle_alpha 90.00
_cell_angle_beta 90.00
_cell_angle_gamma 120.00
_space_group_name_H-M_alt 'P 6/m m m'
_space_group_IT_number 191
_space_group_name_Hall '-P 6 2'
loop_
_atom_site_label
_atom_site_fract_x
_atom_site_fract_y
_atom_site_fract_z
Ca1 0.0000 0.0000 0.0000
Mg1 0.3333 0.6667 0.0000
Cd1 0.0000 0.5000 0.0000
Cd2 0.1767 0.3533 0.5000
# Total magnetization (μB/atom): 0.00



Energy comparison, zero being the most stable, in kJ/mol of atoms: w 0.0; x 3.2.